#1
Density functional theory data (PBE) for a relaxed structure of LaPr3Ho7.

a b c (Å): 6.6932 6.5723 8.7012
angles (deg): 80.68 81.39 94.87
Positions (direct):
Ho1 0.0000 0.5000 0.5000
Ho2 0.7809 0.2671 0.2184
Ho3 0.2950 0.4451 0.1425
Pr1 0.5000 0.0000 0.0000
Ho4 0.7050 0.5549 0.8575
Pr2 0.9363 0.7948 0.1574
Ho5 0.2607 0.0142 0.4114
Ho6 0.7393 0.9858 0.5886
Ho7 0.2191 0.7329 0.7816
Pr3 0.0637 0.2052 0.8426
La1 0.5000 0.5000 0.5000

For the magnetic moment, the calculation gives 0.000 μB/f.u.



#2
Density functional theory data (PBE) for a relaxed structure of LaPr3Ho7.

a b c (Å): 8.7793 7.0975 7.0975
angles (deg): 120.00 90.00 90.00
Positions (direct):
Ho1 0.4441 0.3349 0.1674
Pr1 0.7851 0.5004 0.0008
Ho2 0.1201 0.1668 0.8332
Pr2 0.7851 0.9992 0.4996
Ho3 0.1201 0.1668 0.3335
Ho4 0.1238 0.6667 0.3333
Pr3 0.7851 0.5004 0.4996
Ho5 0.1201 0.6665 0.8332
Ho6 0.4441 0.8326 0.1674
La1 0.4433 0.3333 0.6667
Ho7 0.4441 0.8326 0.6651

For the magnetic moment, the calculation gives 0.001 μB/f.u.



Which structure is most stable? #1, by 6.2 kJ/mol of atoms over the runner-up.



#1
Density functional theory data (PBE) for a relaxed structure of LaPr2Ho7.

a b c (Å): 5.4036 9.5150 9.5150
angles (deg): 126.22 90.00 90.00
Positions (direct):
Ho1 0.5000 0.9329 0.7115
Ho2 0.0000 0.2067 0.7933
Ho3 0.0000 0.7933 0.2067
La1 0.0000 0.0000 0.0000
Ho4 0.5000 0.7115 0.9329
Ho5 0.5000 0.5000 0.5000
Pr1 0.5000 0.7025 0.2975
Ho6 0.5000 0.0671 0.2885
Ho7 0.5000 0.2885 0.0671
Pr2 0.5000 0.2975 0.7025

For the magnetic moment, the calculation gives 0.000 μB/f.u.



#2
Density functional theory data (PBE) for a relaxed structure of LaPr2Ho7.

a b c (Å): 6.2029 8.0241 8.0082
angles (deg): 89.86 104.89 121.11
Positions (direct):
Ho1 0.5000 0.5000 0.0000
Ho2 0.9991 0.4006 0.1991
Ho3 0.0009 0.5994 0.8009
La1 0.0000 0.0000 0.0000
Pr1 0.4991 0.7002 0.6001
Ho4 0.4997 0.8988 0.1991
Ho5 0.9995 0.7994 0.3997
Pr2 0.5009 0.2998 0.3999
Ho6 0.0005 0.2006 0.6003
Ho7 0.5003 0.1012 0.8009

For the magnetic moment, the calculation gives 0.000 μB/f.u.



Which structure is most stable? #2, by 63.0 kJ/mol of atoms over the runner-up.